First-principles (GGA+U) data for a relaxed La4SmMn5O15 crystal, as listed in Alexandria via LeMat-Bulk.

- DFT total energy: -7.88 eV per atom

abc: 5.569 27.768 3.905
angles: 90.00 90.00 90.00
Space group Cmmm (No. 65)
Unique sites:
La (0.000, 0.094, 0.000) [4 per cell]
La (0.000, 0.299, 0.000) [4 per cell]
Sm (0.000, 0.500, 0.000) [2 per cell]
Mn (0.000, 0.000, 0.500) [2 per cell]
Mn (0.000, 0.199, 0.500) [4 per cell]
Mn (0.000, 0.401, 0.500) [4 per cell]
O (0.000, 0.000, 0.000) [2 per cell]
O (0.000, 0.202, 0.000) [4 per cell]
O (0.000, 0.404, 0.000) [4 per cell]
O (0.248, 0.048, 0.500) [8 per cell]
O (0.249, 0.350, 0.500) [8 per cell]
O (0.250, 0.250, 0.500) [4 per cell]

---

First-principles (GGA+U) data for a relaxed SrLa2MnO5 crystal, as listed in Alexandria via LeMat-Bulk.

- DFT total energy: -7.60 eV per atom

abc: 6.876 6.876 5.803
angles: 90.00 90.00 90.00
Space group P4/mbm (No. 127)
Unique sites:
Sr (0.000, 0.000, 0.000) [2 per cell]
La (0.175, 0.325, 0.500) [4 per cell]
Mn (0.000, 0.500, 0.000) [2 per cell]
O (0.000, 0.000, 0.500) [2 per cell]
O (0.138, 0.638, 0.237) [8 per cell]

---

First-principles (GGA+U) data for a relaxed SrLaMnO4 crystal, as listed in Alexandria via LeMat-Bulk.

- DFT total energy: -7.48 eV per atom
- Distance to the lowest polymorph of the same formula: 0 meV per atom

abc: 3.932 3.932 12.613
angles: 90.00 90.00 90.00
Space group I4mm (No. 107)
Unique sites:
Sr (0.000, 0.000, 0.000) [2 per cell]
La (0.000, 0.000, 0.716) [2 per cell]
Mn (0.000, 0.000, 0.360) [2 per cell]
O (0.000, 0.000, 0.192) [2 per cell]
O (0.000, 0.000, 0.532) [2 per cell]
O (0.000, 0.500, 0.353) [4 per cell]

---

First-principles (GGA+U) data for a relaxed Sr3LaMn2O8 crystal, as listed in Alexandria via LeMat-Bulk.

- DFT total energy: -7.11 eV per atom

abc: 5.548 5.547 12.443
angles: 90.00 90.00 90.00
Space group Amm2 (No. 38)
Unique sites:
Sr (0.000, 0.000, 0.000) [2 per cell]
Sr (0.000, 0.000, 0.285) [2 per cell]
Sr (0.500, 0.000, 0.498) [2 per cell]
La (0.500, 0.000, 0.781) [2 per cell]
Mn (0.000, 0.000, 0.640) [2 per cell]
Mn (0.500, 0.000, 0.140) [2 per cell]
O (0.000, 0.000, 0.483) [2 per cell]
O (0.000, 0.000, 0.802) [2 per cell]
O (0.256, 0.247, 0.644) [8 per cell]
O (0.500, 0.000, 0.301) [2 per cell]
O (0.500, 0.000, 0.973) [2 per cell]

---

First-principles (GGA+U) data for a relaxed Sr2La2Mn4O11 crystal, as listed in Alexandria via LeMat-Bulk.

- DFT total energy: -7.47 eV per atom

abc: 5.623 5.623 15.501
angles: 90.00 90.00 90.00
Space group I4/mmm (No. 139)
Unique sites:
Sr (0.000, 0.500, 0.000) [4 per cell]
La (0.000, 0.500, 0.250) [4 per cell]
Mn (0.000, 0.000, 0.121) [4 per cell]
Mn (0.000, 0.000, 0.371) [4 per cell]
O (0.000, 0.000, 0.000) [2 per cell]
O (0.000, 0.000, 0.242) [4 per cell]
O (0.242, 0.242, 0.375) [16 per cell]

---

First-principles (GGA+U) data for a relaxed SrLaMnO4 crystal, as listed in Alexandria via LeMat-Bulk.

- DFT total energy: -7.47 eV per atom
- Distance to the lowest polymorph of the same formula: 7 meV per atom

abc: 5.498 12.840 5.516
angles: 90.00 90.00 90.00
Space group Cmcm (No. 63)
Unique sites:
Sr (0.000, 0.105, 0.250) [4 per cell]
La (0.000, 0.390, 0.250) [4 per cell]
Mn (0.000, 0.247, 0.750) [4 per cell]
O (0.000, 0.084, 0.750) [4 per cell]
O (0.000, 0.428, 0.750) [4 per cell]
O (0.250, 0.250, 0.000) [8 per cell]

---

First-principles (GGA+U) data for a relaxed SrLaMnO3 crystal, as listed in Alexandria via LeMat-Bulk.

- DFT total energy: -7.06 eV per atom

abc: 3.620 3.874 12.948
angles: 90.00 90.00 90.00
Space group Imm2 (No. 44)
Unique sites:
Sr (0.000, 0.000, 0.000) [2 per cell]
La (0.000, 0.000, 0.290) [2 per cell]
Mn (0.000, 0.000, 0.641) [2 per cell]
O (0.000, 0.000, 0.475) [2 per cell]
O (0.000, 0.000, 0.807) [2 per cell]
O (0.000, 0.500, 0.650) [2 per cell]

---

First-principles (GGA+U) data for a relaxed SrLaMn2O6 crystal, as listed in Alexandria via LeMat-Bulk.

- DFT total energy: -7.47 eV per atom

abc: 5.476 5.476 7.984
angles: 90.00 90.00 90.00
Space group I-42m (No. 121)
Unique sites:
Sr (0.000, 0.000, 0.000) [2 per cell]
La (0.000, 0.000, 0.500) [2 per cell]
Mn (0.000, 0.500, 0.250) [4 per cell]
O (0.000, 0.500, 0.000) [4 per cell]
O (0.205, 0.205, 0.258) [8 per cell]

---

First-principles (GGA+U) data for a relaxed Sr4LaMn5O13 crystal, as listed in Alexandria via LeMat-Bulk.

- DFT total energy: -7.16 eV per atom
- Distance to the lowest polymorph of the same formula: 43 meV per atom

abc: 8.883 3.853 8.900
angles: 90.00 90.73 90.00
Space group P2/m (No. 10)
Unique sites:
Sr (0.102, 0.000, 0.180) [2 per cell]
Sr (0.298, 0.000, 0.615) [2 per cell]
La (0.500, 0.000, 0.000) [1 per cell]
Mn (0.000, 0.500, 0.500) [1 per cell]
Mn (0.199, 0.500, 0.895) [2 per cell]
Mn (0.394, 0.500, 0.303) [2 per cell]
O (0.000, 0.500, 0.000) [1 per cell]
O (0.086, 0.500, 0.699) [2 per cell]
O (0.202, 0.500, 0.418) [2 per cell]
O (0.210, 0.000, 0.901) [2 per cell]
O (0.314, 0.500, 0.087) [2 per cell]
O (0.404, 0.500, 0.788) [2 per cell]
O (0.414, 0.000, 0.337) [2 per cell]

---

First-principles (GGA+U) data for a relaxed Sr4LaMn5O13 crystal, as listed in Alexandria via LeMat-Bulk.

- DFT total energy: -7.21 eV per atom
- Distance to the lowest polymorph of the same formula: 0 meV per atom

abc: 8.796 3.887 8.833
angles: 90.00 90.23 90.00
Space group Pm (No. 6)
Unique sites:
Sr (0.000, 0.000, 0.000) [1 per cell]
Sr (0.170, 0.000, 0.606) [1 per cell]
Sr (0.566, 0.000, 0.769) [1 per cell]
Sr (0.789, 0.000, 0.391) [1 per cell]
La (0.401, 0.000, 0.166) [1 per cell]
Mn (0.092, 0.500, 0.294) [1 per cell]
Mn (0.284, 0.500, 0.885) [1 per cell]
Mn (0.478, 0.500, 0.482) [1 per cell]
Mn (0.691, 0.500, 0.083) [1 per cell]
Mn (0.881, 0.500, 0.692) [1 per cell]
O (0.065, 0.500, 0.818) [1 per cell]
O (0.132, 0.000, 0.307) [1 per cell]
O (0.227, 0.500, 0.119) [1 per cell]
O (0.286, 0.000, 0.896) [1 per cell]
O (0.360, 0.500, 0.664) [1 per cell]
O (0.445, 0.000, 0.456) [1 per cell]
O (0.503, 0.500, 0.963) [1 per cell]
O (0.562, 0.500, 0.278) [1 per cell]
O (0.684, 0.500, 0.592) [1 per cell]
O (0.696, 0.000, 0.057) [1 per cell]
O (0.861, 0.000, 0.728) [1 per cell]
O (0.889, 0.500, 0.175) [1 per cell]
O (0.995, 0.500, 0.488) [1 per cell]

---

First-principles (GGA+U) data for a relaxed SrLaTaMnO6 crystal, as listed in Alexandria via LeMat-Bulk.

- DFT total energy: -8.47 eV per atom

abc: 5.713 5.853 9.942
angles: 90.00 124.98 90.00
Space group Pc (No. 7)
Unique sites:
Sr (0.000, 0.211, 0.000) [2 per cell]
La (0.524, 0.301, 0.504) [2 per cell]
Ta (0.259, 0.247, 0.750) [2 per cell]
Mn (0.760, 0.246, 0.250) [2 per cell]
O (0.005, 0.481, 0.199) [2 per cell]
O (0.121, 0.222, 0.512) [2 per cell]
O (0.417, 0.284, 0.987) [2 per cell]
O (0.492, 0.039, 0.301) [2 per cell]
O (0.573, 0.450, 0.788) [2 per cell]
O (0.922, 0.058, 0.700) [2 per cell]

---

First-principles (GGA+U) data for a relaxed SrLaTiMnO6 crystal, as listed in Alexandria via LeMat-Bulk.

- DFT total energy: -7.91 eV per atom
- Distance to the lowest polymorph of the same formula: 105 meV per atom

abc: 5.549 5.534 9.559
angles: 90.00 125.17 90.00
Space group Pc (No. 7)
Unique sites:
Sr (0.000, 0.232, 0.000) [2 per cell]
La (0.512, 0.277, 0.503) [2 per cell]
Ti (0.255, 0.247, 0.752) [2 per cell]
Mn (0.754, 0.249, 0.251) [2 per cell]
O (0.069, 0.246, 0.501) [2 per cell]
O (0.454, 0.258, 0.000) [2 per cell]
O (0.506, 0.028, 0.282) [2 per cell]
O (0.548, 0.479, 0.778) [2 per cell]
O (0.946, 0.030, 0.719) [2 per cell]
O (0.997, 0.480, 0.224) [2 per cell]

---

> Which of these has the lowest DFT total energy?

SrLaTaMnO6

---

> The lowest DFT total energy belongs to which entry?

SrLaTaMnO6